# 1
Material: Ti6AlIr2
Method: DFT, PBE
State: relaxed

abc: 7.740 7.740 2.728
angles: 90.22 90.22 59.87
Element x y z (fractional)
Ti 0.153 0.504 0.860
Ti 0.164 0.836 0.000
Ti 0.496 0.847 0.140
Ti 0.504 0.153 0.860
Ti 0.836 0.164 0.000
Ti 0.847 0.496 0.140
Al 0.500 0.500 0.500
Ir 0.166 0.166 0.494
Ir 0.834 0.834 0.506

Results
Fermi-level density of states in states/eV per cell: 11.80
Energy relative to the elements in meV per atom: -282
Crystal system: monoclinic



# 2
Material: CePmScPb
Method: DFT, PBE
State: relaxed

abc: 7.589 7.589 7.589
angles: 90.00 90.00 90.00
Element x y z (fractional)
Ce 0.000 0.000 0.000
Ce 0.000 0.500 0.500
Ce 0.500 0.000 0.500
Ce 0.500 0.500 0.000
Pm 0.250 0.250 0.750
Pm 0.250 0.750 0.250
Pm 0.750 0.250 0.250
Pm 0.750 0.750 0.750
Sc 0.250 0.250 0.250
Sc 0.250 0.750 0.750
Sc 0.750 0.250 0.750
Sc 0.750 0.750 0.250
Pb 0.000 0.000 0.500
Pb 0.000 0.500 0.000
Pb 0.500 0.000 0.000
Pb 0.500 0.500 0.500

Results
Fermi-level density of states in states/eV per cell: 36.31
Energy relative to the elements in meV per atom: -61
Crystal system: cubic



# 3
Material: SbOs2Se
Method: DFT, PBE
State: relaxed

abc: 3.029 5.333 8.719
angles: 90.00 90.00 90.00
Element x y z (fractional)
Sb 0.000 0.000 0.000
Sb 0.500 0.500 0.000
Os 0.000 0.500 0.251
Os 0.000 0.500 0.749
Os 0.500 0.000 0.251
Os 0.500 0.000 0.749
Se 0.000 0.000 0.500
Se 0.500 0.500 0.500

Results
Fermi-level density of states in states/eV per cell: 10.54
E above lowest polymorph in meV/atom: 730
Crystal system: orthorhombic



# 4
Material: LiDy3Pa2N6
Method: DFT, PBE
State: relaxed

abc: 5.977 5.977 6.013
angles: 99.49 99.49 119.94
Element x y z (fractional)
Li 0.000 0.000 0.000
Dy 0.162 0.838 0.500
Dy 0.500 0.500 0.500
Dy 0.838 0.162 0.500
Pa 0.333 0.667 0.000
Pa 0.667 0.333 0.000
N 0.081 0.438 0.241
N 0.273 0.273 0.755
N 0.438 0.081 0.241
N 0.562 0.919 0.759
N 0.727 0.727 0.245
N 0.919 0.562 0.759

Results
Fermi-level density of states in states/eV per cell: 4.72
Crystal system: monoclinic
Calculated total energy in eV per cell: -103.06